An optimized crystal structure of ScNiSb, computed with PBE-GGA.

Calculated total energy   -6.057 eV/atom
Volume   18.0 Å³/atom
Crystal system   hexagonal

a b c (Å): 6.7196 6.7196 4.1462
angles (deg): 90.00 90.00 120.00
Space group P-62m (No. 189)
One atom of each set of equivalent atoms:
Sc: 0.0000 0.5684 0.0000 (multiplicity 3)
Ni: 0.0000 0.2457 0.5000 (multiplicity 3)
Sb: 0.0000 0.0000 0.0000 (multiplicity 1)
Sb: 0.3333 0.6667 0.5000 (multiplicity 2)


An optimized crystal structure of DyInFeS3, computed with PBE-GGA.

Calculated total energy   -5.661 eV/atom
Volume   24.1 Å³/atom
Crystal system   orthorhombic

a b c (Å): 3.9307 14.1504 10.3902
angles (deg): 90.00 90.00 90.00
Space group Cmcm (No. 63)
One atom of each set of equivalent atoms:
Dy: 0.0000 0.0000 0.0000 (multiplicity 4)
In: 0.0000 0.2485 0.2500 (multiplicity 4)
Fe: 0.0000 0.4710 0.7500 (multiplicity 4)
S: 0.0000 0.0633 0.7500 (multiplicity 4)
S: 0.0000 0.3760 0.5719 (multiplicity 8)


An optimized crystal structure of TbHfTeC, computed with PBE-GGA.

Volume   19.8 Å³/atom
Crystal system   hexagonal
Offset from the most stable computed form   0.000 eV per atom

a b c (Å): 3.6377 3.6377 13.8077
angles (deg): 90.00 90.00 120.00
Space group P6_3mc (No. 186)
One atom of each set of equivalent atoms:
Tb: 0.3333 0.6667 0.0000 (multiplicity 2)
Hf: 0.3333 0.6667 0.6818 (multiplicity 2)
Te: 0.3333 0.6667 0.3315 (multiplicity 2)
C: 0.0000 0.0000 0.1054 (multiplicity 2)


An optimized crystal structure of USiAs, computed with PBE-GGA.

Calculated total energy   -7.084 eV/atom
Volume   22.9 Å³/atom
Crystal system   cubic

a b c (Å): 6.5012 6.5012 6.5012
angles (deg): 90.00 90.00 90.00
Space group F-43m (No. 216)
One atom of each set of equivalent atoms:
U: 0.0000 0.0000 0.0000 (multiplicity 4)
Si: 0.2500 0.2500 0.2500 (multiplicity 4)
As: 0.2500 0.2500 0.7500 (multiplicity 4)


> Which value of volume does entry 1 give?

18.0 Å³/atom


What did the second record say?
An optimized crystal structure of DyInFeS3, computed with PBE-GGA.

Calculated total energy   -5.661 eV/atom
Volume   24.1 Å³/atom
Crystal system   orthorhombic

a b c (Å): 3.9307 14.1504 10.3902
angles (deg): 90.00 90.00 90.00
Space group Cmcm (No. 63)
One atom of each set of equivalent atoms:
Dy: 0.0000 0.0000 0.0000 (multiplicity 4)
In: 0.0000 0.2485 0.2500 (multiplicity 4)
Fe: 0.0000 0.4710 0.7500 (multiplicity 4)
S: 0.0000 0.0633 0.7500 (multiplicity 4)
S: 0.0000 0.3760 0.5719 (multiplicity 8)


> Which value of volume does entry 4 give?

22.9 Å³/atom


> Which formula does entry 1 have?

ScNiSb